1.
Tc2HgMo (PBE, optimized geometry); electronic total energy = -7.482 eV/atom; formation enthalpy at 0 K = 1.9 eV/f.u.; theoretical density = 12.70 Mg/m³
1.0
4.0339 0.0000 0.0000
0.0000 4.0339 0.0000
0.0000 0.0000 7.9147
Tc Hg Mo
4 2 2
Cartesian
0.0000 2.0170 1.9787
0.0000 2.0170 5.9360
2.0170 0.0000 1.9787
2.0170 0.0000 5.9360
0.0000 0.0000 0.0000
2.0170 2.0170 3.9574
0.0000 0.0000 3.9574
2.0170 2.0170 0.0000

---

2.
TlTcHg2Mo (PBE, optimized geometry); electronic total energy = -2.721 eV/atom; formation enthalpy at 0 K = 10.6 eV/f.u.; theoretical density = 8.22 Mg/m³
1.0
5.4401 0.0000 0.0000
0.0000 5.4401 0.0000
0.0000 0.0000 5.4587
Tl Tc Hg Mo
1 1 2 1
Cartesian
0.0000 0.0000 0.0000
2.7200 2.7200 2.7293
0.0000 2.7200 0.0000
2.7200 0.0000 0.0000
0.0000 0.0000 2.7293

---

3.
HgTe4Mo (PBE, optimized geometry); electronic total energy = -3.077 eV/atom; theoretical density = 7.33 Mg/m³; formation energy from raw total energies = 5.24 eV per formula unit
1.0
0.0000 4.5049 4.5049
4.5049 0.0000 4.5049
4.5049 4.5049 0.0000
Hg Te Mo
1 4 1
Cartesian
0.0000 0.0000 0.0000
3.3848 3.3848 3.3848
5.6249 5.6249 3.3848
5.6249 3.3848 5.6249
3.3848 5.6249 5.6249
6.7573 6.7573 6.7573

---

> What is the formula in the third record?

HgTe4Mo